The following is a DFT calculation (PBE-GGA) of Ac4La3SiN8 after structural relaxation.

## Properties
- uncorrected energy (hartree per atom) = -0.267
- formation energy (no corrections) (eV/atom) = -0.8262
- space group = No. 12

Lattice parameters (Å, degrees): 7.570 7.570 7.561 119.71 119.71 60.14
Atoms (fractional coordinates):
Ac1 0.000 0.000 0.000
Ac2 0.000 0.500 0.500
Ac3 0.500 0.000 0.500
Ac4 0.500 0.500 0.000
La1 0.000 0.000 0.500
La2 0.000 0.500 0.000
La3 0.500 0.000 0.000
Si1 0.500 0.500 0.500
N1 0.240 0.754 0.247
N2 0.244 0.244 0.238
N3 0.246 0.760 0.753
N4 0.247 0.247 0.753
N5 0.753 0.753 0.247
N6 0.754 0.240 0.247
N7 0.756 0.756 0.762
N8 0.760 0.246 0.753